Record 1
Compound: Ba2CdHg6
Source: the Alexandria database
Functional: PBE-GGA
Structure: relaxed

```
Ba2CdHg6
1.0
6.134 -3.543 0.000
6.134 3.543 0.000
-0.007 0.000 6.226
Ba Cd Hg
2 1 6
direct
0.167 0.167 0.178 Ba
0.833 0.833 0.822 Ba
0.500 0.500 0.000 Cd
0.140 0.680 0.324 Hg
0.320 0.320 0.677 Hg
0.320 0.860 0.676 Hg
0.680 0.140 0.324 Hg
0.680 0.680 0.323 Hg
0.860 0.320 0.676 Hg
```

Output
Fermi-level density of states = 6.68 states/eV per cell
Volume = 271 Å³ per cell
Space-group type = C2/m (12)
Total DFT energy (no corrections) = -1.1071 eV/atom


Record 2
Compound: Ba8CdHg2
Source: the Alexandria database
Functional: PBE-GGA
Structure: relaxed

```
Ba8CdHg2
1.0
10.705 -3.009 0.000
10.705 3.009 0.000
-2.544 0.000 8.034
Ba Cd Hg
8 1 2
direct
0.035 0.035 0.296 Ba
0.203 0.203 0.818 Ba
0.330 0.330 0.531 Ba
0.405 0.405 0.050 Ba
0.595 0.595 0.950 Ba
0.670 0.670 0.469 Ba
0.797 0.797 0.182 Ba
0.965 0.965 0.704 Ba
0.500 0.500 0.500 Cd
0.185 0.185 0.211 Hg
0.815 0.815 0.789 Hg
```

Output
Fermi-level density of states = 14.97 states/eV per cell
Volume = 518 Å³ per cell
Energy above the most stable polymorph in this dataset = 0.0 meV per atom
Space-group type = C2/m (12)


Record 3
Compound: BaCdHg
Source: the Alexandria database
Functional: PBE-GGA
Structure: relaxed

```
BaCdHg
1.0
6.018 -2.626 0.000
6.018 2.626 0.000
-5.470 0.000 6.155
Ba Cd Hg
2 2 2
direct
0.039 0.039 0.293 Ba
0.961 0.961 0.707 Ba
0.337 0.337 0.889 Cd
0.663 0.663 0.111 Cd
0.331 0.331 0.283 Hg
0.669 0.669 0.717 Hg
```

Output
Fermi-level density of states = 4.03 states/eV per cell
Volume = 195 Å³ per cell
Space-group type = C2/m (12)
Total DFT energy (no corrections) = -1.4666 eV/atom


Record 4
Compound: Ba4CdHgI2
Source: the Alexandria database
Functional: PBE-GGA
Structure: relaxed

```
Ba4CdHgI2
1.0
8.334 0.000 0.000
0.000 4.827 0.000
-2.782 0.000 9.150
Ba Cd Hg I
4 1 1 2
direct
0.240 0.000 0.229 Ba
0.254 0.500 0.769 Ba
0.746 0.500 0.231 Ba
0.760 0.000 0.771 Ba
0.500 0.000 0.000 Cd
0.000 0.500 0.000 Hg
0.000 0.000 0.500 I
0.500 0.500 0.500 I
```

Output
Fermi-level density of states = 8.10 states/eV per cell
Volume = 368 Å³ per cell
Uncorrected formation energy = -6.704 eV per formula unit
Space-group type = P2/m (10)